Below is a relaxed structure of SbPt2Pb, with properties calculated at the PBE-GGA level.

Unit cell a=3.467 b=3.467 c=7.643 alpha=90.00 beta=90.00 gamma=90.00
Element x y z (fractional)
Sb  0.000  0.000  0.404
Pb  0.500  0.500  0.823
Pt  0.500  0.500  0.238
Pt  0.000  0.000  0.034

Calculated values
- DOS(E_F): 0.464 states/eV per atom
- ΔE_f (raw): -177 meV per atom
- Crystal system: tetragonal
- Raw total energy: -5.155 eV per atom
- Space-group type: P4mm (99)